## LaCu4P2 (PBE-GGA)

Data for a relaxed LaCu4P2 crystal.

```
LaCu4P2
1.0
11.082 0.000 0.000
0.000 14.808 0.000
0.000 0.000 3.926
La Cu P
6 24 12
Direct
0.000 0.000 0.000
0.123 0.272 0.000
0.377 0.772 0.500
0.500 0.500 0.500
0.623 0.228 0.500
0.877 0.728 0.000
0.070 0.563 0.000
0.076 0.831 0.500
0.099 0.446 0.500
0.171 0.714 0.000
0.236 0.963 0.500
0.240 0.587 0.500
0.260 0.087 0.000
0.264 0.463 0.000
0.329 0.214 0.500
0.401 0.946 0.000
0.424 0.331 0.000
0.430 0.063 0.500
0.570 0.937 0.500
0.576 0.669 0.000
0.599 0.054 0.000
0.671 0.786 0.500
0.736 0.537 0.000
0.740 0.913 0.000
0.760 0.413 0.500
0.764 0.037 0.500
0.829 0.286 0.000
0.901 0.554 0.500
0.924 0.169 0.500
0.930 0.437 0.000
0.059 0.665 0.500
0.137 0.113 0.500
0.206 0.870 0.000
0.294 0.370 0.500
0.363 0.613 0.000
0.441 0.165 0.000
0.559 0.835 0.000
0.637 0.387 0.000
0.706 0.630 0.500
0.794 0.130 0.000
0.863 0.887 0.500
0.941 0.335 0.500
```

Output
Formation energy ... -3.83 eV/f.u.
Space group ... Pnnm (58)
E ... -215.74 eV/cell

---

## LaCuP (PBE-GGA)

Data for a relaxed LaCuP crystal.

```
LaCuP
1.0
0.000 2.944 5.090
2.161 0.000 5.090
2.161 2.944 0.000
La Cu P
1 1 1
Direct
0.000 0.000 0.000
0.290 0.290 0.710
0.693 0.693 0.307
```

Output
Formation energy ... -1.09 eV/f.u.
Space group ... Fmm2 (42)
E ... -15.52 eV/cell

---

## LaCuP (PBE-GGA)

Data for a relaxed LaCuP crystal.

```
LaCuP
1.0
0.000 3.176 3.176
3.176 0.000 3.176
3.176 3.176 0.000
La Cu P
1 1 1
Direct
0.000 0.000 0.000
0.750 0.750 0.750
0.500 0.500 0.500
```

Output
Formation energy ... -1.77 eV/f.u.
Space group ... F-43m (216)
E ... -16.21 eV/cell

---

## La2CuP (PBE-GGA)

Data for a relaxed La2CuP crystal.

```
La2CuP
1.0
0.000 3.554 3.554
3.554 0.000 3.554
3.554 3.554 0.000
La Cu P
2 1 1
Direct
0.000 0.000 0.000
0.250 0.250 0.250
0.750 0.750 0.750
0.500 0.500 0.500
```

Output
Formation energy ... -0.03 eV/f.u.
Space group ... F-43m (216)
E ... -19.39 eV/cell

---

## LaCuP3 (PBE-GGA)

Data for a relaxed LaCuP3 crystal.

```
LaCuP3
1.0
4.597 0.000 0.000
0.000 4.597 0.000
0.000 0.000 4.597
La Cu P
1 1 3
Direct
0.000 0.000 0.000
0.500 0.500 0.500
0.000 0.500 0.500
0.500 0.000 0.500
0.500 0.500 0.000
```

Output
Formation energy ... -1.15 eV/f.u.
Space group ... Pm-3m (221)
E above lowest polymorph ... 0 meV per atom
E ... -26.40 eV/cell

---

## La2Cu2P3 (PBE-GGA)

Data for a relaxed La2Cu2P3 crystal.

```
La2Cu2P3
1.0
7.636 -2.051 0.000
7.636 2.051 0.000
-6.837 0.000 9.095
La Cu P
4 4 6
Direct
0.105 0.105 0.437
0.238 0.238 0.842
0.762 0.762 0.158
0.895 0.895 0.563
0.086 0.086 0.144
0.454 0.454 0.179
0.546 0.546 0.821
0.914 0.914 0.856
0.106 0.106 0.953
0.349 0.349 0.705
0.430 0.430 0.380
0.570 0.570 0.620
0.651 0.651 0.295
0.894 0.894 0.047
```

Output
Formation energy ... -6.76 eV/f.u.
Space group ... C2/m (12)
E ... -82.08 eV/cell

---

## La2CuP (PBE-GGA)

Data for a relaxed La2CuP crystal.

```
La2CuP
1.0
3.710 0.000 0.000
0.000 3.698 0.000
-0.014 0.000 7.067
La Cu P
2 1 1
Direct
0.001 0.000 0.267
0.999 0.000 0.733
0.500 0.500 0.000
0.500 0.500 0.500
```

Output
Formation energy ... -2.78 eV/f.u.
Space group ... P2/m (10)
E ... -22.14 eV/cell

---

## La2CuP2 (PBE-GGA)

Data for a relaxed La2CuP2 crystal.

```
La2CuP2
1.0
7.620 0.000 0.000
0.000 7.620 0.000
0.000 0.000 3.979
La Cu P
4 2 4
Direct
0.152 0.348 0.000
0.348 0.848 0.000
0.652 0.152 0.000
0.848 0.652 0.000
0.000 0.000 0.500
0.500 0.500 0.500
0.161 0.661 0.500
0.339 0.161 0.500
0.661 0.839 0.500
0.839 0.339 0.500
```

Output
Formation energy ... -4.62 eV/f.u.
Space group ... P4/mbm (127)
E ... -58.79 eV/cell

---

## LaCu4P3 (PBE-GGA)

Data for a relaxed LaCu4P3 crystal.

```
LaCu4P3
1.0
3.918 0.000 0.000
0.000 3.918 0.000
0.000 0.000 8.278
La Cu P
1 4 3
Direct
0.000 0.000 0.000
0.000 0.500 0.334
0.000 0.500 0.666
0.500 0.000 0.334
0.500 0.000 0.666
0.000 0.000 0.500
0.500 0.500 0.176
0.500 0.500 0.824
```

Output
Formation energy ... -3.93 eV/f.u.
Space group ... P4/mmm (123)
E ... -41.47 eV/cell

---

## La3CuP (PBE-GGA)

Data for a relaxed La3CuP crystal.

```
La3CuP
1.0
5.435 0.000 0.000
0.000 5.435 0.000
0.000 0.000 5.435
La Cu P
3 1 1
Direct
0.000 0.000 0.500
0.000 0.500 0.000
0.500 0.000 0.000
0.000 0.000 0.000
0.500 0.500 0.500
```

Output
Formation energy ... 0.25 eV/f.u.
Space group ... Pm-3m (221)
E ... -24.04 eV/cell

---

## LaCuP (PBE-GGA)

Data for a relaxed LaCuP crystal.

```
LaCuP
1.0
0.000 3.249 3.249
3.249 0.000 3.249
3.249 3.249 0.000
La Cu P
1 1 1
Direct
0.000 0.000 0.000
0.500 0.500 0.500
0.750 0.750 0.750
```

Output
Formation energy ... -1.51 eV/f.u.
Space group ... F-43m (216)
E ... -15.95 eV/cell

---

## LaCu4P2 (PBE-GGA)

Data for a relaxed LaCu4P2 crystal.

```
LaCu4P2
1.0
7.424 0.000 0.000
0.000 7.424 0.000
0.000 0.000 3.889
La Cu P
2 8 4
Direct
0.000 0.000 0.000
0.500 0.500 0.500
0.083 0.339 0.500
0.161 0.583 0.000
0.339 0.083 0.500
0.417 0.839 0.000
0.583 0.161 0.000
0.661 0.917 0.500
0.839 0.417 0.000
0.917 0.661 0.500
0.216 0.784 0.500
0.284 0.284 0.000
0.716 0.716 0.000
0.784 0.216 0.500
```

Output
Formation energy ... -3.65 eV/f.u.
Space group ... P4_2/mnm (136)
E ... -71.56 eV/cell